*A*
## Sn3TePb (PBE)

Data for crystalline Sn3TePb at its relaxed geometry.

abc: 5.8323 5.8323 5.8323
angles: 90.00 90.00 90.00
Closest atoms and distances in Å follow each position.
Space group Pm-3m (No. 221)
Inequivalent atoms, fractional coordinates:
Sn (0.0000, 0.0000, 0.5000) x3  2 Pb 2.92
Te (0.5000, 0.5000, 0.5000) x1  12 Sn 4.12
Pb (0.0000, 0.0000, 0.0000) x1  6 Sn 2.92

*B*
## Sn3TePb (PBE)

Data for crystalline Sn3TePb at its relaxed geometry.

abc: 5.8301 5.8301 5.8301
angles: 90.00 90.00 90.00
Closest atoms and distances in Å follow each position.
Space group Pm-3m (No. 221)
Inequivalent atoms, fractional coordinates:
Sn (0.0000, 0.0000, 0.5000) x3  2 Te 2.92
Te (0.0000, 0.0000, 0.0000) x1  6 Sn 2.92
Pb (0.5000, 0.5000, 0.5000) x1  12 Sn 4.12

Most stable one: *B*, least stable one: *A*.